(1)
{"formula": "La2ReW", "functional": "PBE", "state": "relaxed", "lattice": [[8.4462, 0.0000, 0.0000], [0.0000, 8.4462, 0.0000], [4.2231, 4.2231, 2.7774]], "species": ["La", "La", "La", "La", "W", "W", "Re", "Re"], "fractional_positions": [[0.8750, 0.9252, 0.7500], [0.0748, 0.6250, 0.2500], [0.6752, 0.1250, 0.2500], [0.3750, 0.3248, 0.7500], [0.2500, 0.7500, 0.5000], [0.5000, 0.5000, 0.0000], [0.7500, 0.2500, 0.5000], [0.0000, 0.0000, 0.0000]], "relative_energy_mev_per_atom": 982, "sg": "I-42d", "formation_energy_ev_per_atom": 1.181, "mass_density_kg_m3": 10859, "dos_ef_per_ev_cell": 12.174, "total_magnetization_mub_per_atom": 0.0067}


(2)
{"formula": "NaCe2Ir", "functional": "PBE", "state": "relaxed", "lattice": [[4.0629, 0.0000, 0.0000], [2.0314, 3.5186, 0.0000], [2.0314, 1.1729, 10.5119]], "species": ["Ce", "Ce", "Ir", "Na"], "fractional_positions": [[0.8810, 0.8810, 0.3569], [0.1190, 0.1190, 0.6431], [0.5000, 0.5000, 0.5000], [0.0000, 0.0000, 0.0000]], "sg": "R-3m", "formation_energy_ev_per_atom": -0.193, "mass_density_kg_m3": 5475, "dos_ef_per_ev_cell": 14.166, "total_magnetization_mub_per_atom": 0.4577}